[1]
Compound: Y3Al2Cu9
Source: Alexandria via LeMat-Bulk
Functional: GGA-PBE
Structure: optimized geometry

a b c (Å): 7.9177 7.9177 7.9177
angles (deg): 149.10 114.02 74.63
Element x y z (fractional)
Y 0.0000 0.0000 0.0000
Y 0.2883 0.2883 0.0000
Y 0.7117 0.7117 0.0000
Al 0.3174 0.5000 0.8174
Al 0.6826 0.5000 0.1826
Cu 0.0158 0.6614 0.3544
Cu 0.1563 0.8684 0.2878
Cu 0.3070 0.6614 0.6456
Cu 0.4194 0.1316 0.2878
Cu 0.5000 0.0000 0.5000
Cu 0.5806 0.8684 0.7122
Cu 0.6930 0.3386 0.3544
Cu 0.8437 0.1316 0.7122
Cu 0.9842 0.3386 0.6456

Properties
For the magnetic moment, the calculation gives 0.00 μB/cell. The formation energy comes out at -0.284 eV per atom. Its symmetry is No. 71.

[2]
Compound: AlVTcGe2
Source: Alexandria via LeMat-Bulk
Functional: GGA-PBE
Structure: optimized geometry

a b c (Å): 4.6656 4.6656 4.7184
angles (deg): 90.00 90.00 90.00
Element x y z (fractional)
Al 0.0000 0.0000 0.0000
V 0.0000 0.0000 0.5000
Tc 0.5000 0.5000 0.0000
Ge 0.0000 0.5000 0.5000
Ge 0.5000 0.0000 0.5000

Properties
For the magnetic moment, the calculation gives 4.67 μB/cell. The formation energy comes out at 0.973 eV per atom. Its symmetry is No. 123.

[3]
Compound: Ac7Ir2Pb2
Source: Alexandria via LeMat-Bulk
Functional: GGA-PBE
Structure: optimized geometry

a b c (Å): 7.5270 7.5270 7.7210
angles (deg): 90.00 90.00 107.56
Element x y z (fractional)
Ac 0.0000 0.0000 0.0000
Ac 0.0000 0.5000 0.2481
Ac 0.0000 0.5000 0.7519
Ac 0.5000 0.0000 0.2481
Ac 0.5000 0.0000 0.7519
Ac 0.5000 0.5000 0.2317
Ac 0.5000 0.5000 0.7683
Ir 0.2854 0.7146 0.0000
Ir 0.7146 0.2854 0.0000
Pb 0.1758 0.1758 0.5000
Pb 0.8242 0.8242 0.5000

Properties
The calculation puts the polymorph energy (0 for the lowest one) at 22.6 meV per atom. For the magnetic moment, the calculation gives 0.00 μB/cell. The formation energy comes out at -0.421 eV per atom. Its symmetry is No. 65.

[4]
Compound: PaTaIr2
Source: Alexandria via LeMat-Bulk
Functional: GGA-PBE
Structure: optimized geometry

a b c (Å): 3.1706 3.1706 7.3089
angles (deg): 90.00 90.00 90.00
Element x y z (fractional)
Pa 0.0000 0.0000 0.0000
Ta 0.0000 0.0000 0.5000
Ir 0.5000 0.5000 0.2873
Ir 0.5000 0.5000 0.7127

Properties
The calculation puts the polymorph energy (0 for the lowest one) at 0.0 meV per atom. For the magnetic moment, the calculation gives 0.00 μB/cell. The formation energy comes out at -0.571 eV per atom. Its symmetry is No. 123.

[5]
Compound: AlAgGe
Source: Alexandria via LeMat-Bulk
Functional: GGA-PBE
Structure: optimized geometry

a b c (Å): 4.3830 4.3830 9.9240
angles (deg): 90.00 90.00 120.00
Element x y z (fractional)
Al 0.0000 0.0000 0.2500
Al 0.0000 0.0000 0.7500
Ag 0.3333 0.6667 0.2500
Ag 0.6667 0.3333 0.7500
Ge 0.0000 0.0000 0.0000
Ge 0.0000 0.0000 0.5000

Properties
For the magnetic moment, the calculation gives 0.00 μB/cell. The formation energy comes out at 0.749 eV per atom. Its symmetry is No. 194.

[6]
Compound: Ba2CrSe
Source: Alexandria via LeMat-Bulk
Functional: GGA-PBE
Structure: optimized geometry

a b c (Å): 8.4774 8.4774 8.4774
angles (deg): 149.55 149.03 43.99
Element x y z (fractional)
Ba 0.0000 0.0000 0.0000
Ba 0.7536 0.2536 0.5000
Cr 0.3323 0.8323 0.5000
Se 0.4252 0.4252 0.0000

Properties
As for the energy relative to the elements, uncorrected: -143 kJ/mol of formula units. For the magnetic moment, the calculation gives 4.11 μB/cell. Its symmetry is No. 44.

[7]
Compound: ErInSn2I8
Source: Alexandria via LeMat-Bulk
Functional: GGA-PBE
Structure: optimized geometry

a b c (Å): 7.2896 7.7350 9.5156
angles (deg): 89.98 89.95 88.84
Element x y z (fractional)
Er 0.0000 0.0000 0.0000
In 0.0000 0.0000 0.5000
Sn 0.5000 0.4999 0.2508
Sn 0.5000 0.5001 0.7492
I 0.2356 0.3227 0.0001
I 0.2443 0.8445 0.2243
I 0.2448 0.8450 0.7755
I 0.2709 0.3578 0.5003
I 0.7291 0.6422 0.4997
I 0.7552 0.1550 0.2245
I 0.7557 0.1555 0.7757
I 0.7644 0.6773 0.9999

Properties
As for the energy relative to the elements, uncorrected: -864 kJ/mol of formula units. For the magnetic moment, the calculation gives 0.00 μB/cell. Its symmetry is No. 2.

[8]
Compound: Tb5HoThSc2
Source: Alexandria via LeMat-Bulk
Functional: GGA-PBE
Structure: optimized geometry

a b c (Å): 11.0167 11.0167 9.4200
angles (deg): 90.00 90.00 150.49
Element x y z (fractional)
Tb 0.0099 0.9901 0.5000
Tb 0.2663 0.7337 0.8188
Tb 0.3043 0.6957 0.2012
Tb 0.3900 0.6100 0.5307
Tb 0.4688 0.5312 0.2337
Tb 0.5312 0.4688 0.7337
Tb 0.6100 0.3900 0.0307
Tb 0.6957 0.3043 0.7012
Tb 0.7337 0.2663 0.3188
Tb 0.9901 0.0099 0.0000
Ho 0.4030 0.5970 0.9085
Ho 0.5970 0.4030 0.4085
Th 0.1840 0.8160 0.5100
Th 0.8160 0.1840 0.0100
Sc 0.1133 0.8867 0.8102
Sc 0.1336 0.8664 0.1957
Sc 0.8664 0.1336 0.6957
Sc 0.8867 0.1133 0.3102

Properties
For the magnetic moment, the calculation gives 0.00 μB/cell. The formation energy comes out at 0.174 eV per atom. Its symmetry is No. 36.